Record 1
A plane-wave DFT calculation with PBE-GGA was carried out for a relaxed MgSc2Os crystal.

VASP energy, eV per atom: -6.702
M_tot, μB/cell: 0.00

a b c (Å): 3.2436 3.2436 7.6906
angles (deg): 90.00 90.00 90.00
With the nearest neighbours (Å) after each atom.
Fractional positions:
Mg 0.0000 0.0000 0.0000  4 Mg 3.24, 8 Sc 3.26
Os 0.0000 0.0000 0.5000  8 Sc 2.76
Sc 0.5000 0.5000 0.3012  4 Os 2.76, 1 Sc 3.06
Sc 0.5000 0.5000 0.6988  4 Os 2.76, 1 Sc 3.06

***

Record 2
A plane-wave DFT calculation with PBE-GGA was carried out for a relaxed PtO crystal.

VASP energy, eV per atom: -4.857
M_tot, μB/cell: 0.01

a b c (Å): 2.8697 2.8697 3.3225
angles (deg): 90.00 90.00 120.00
With the nearest neighbours (Å) after each atom.
Fractional positions:
O 0.6667 0.3333 0.7500  6 Pt 2.35
Pt 0.3333 0.6667 0.2500  6 O 2.35

***

Record 3
A plane-wave DFT calculation with PBE-GGA was carried out for a relaxed ZnF2 crystal.

VASP energy, eV per atom: -3.876

a b c (Å): 3.1168 3.1168 8.0156
angles (deg): 90.00 90.00 119.96
With the nearest neighbours (Å) after each atom.
Fractional positions:
F 0.4992 0.5009 0.1214  3 Zn 2.04
F 0.8341 0.1659 0.3780  3 Zn 2.05
F 0.5009 0.4992 0.6214  3 Zn 2.04
F 0.1659 0.8341 0.8780  3 Zn 2.05
Zn 0.8324 0.1676 0.0006  6 F 2.04-2.05
Zn 0.1676 0.8324 0.5006  6 F 2.04-2.05

***

Record 4
A plane-wave DFT calculation with PBE-GGA was carried out for a relaxed ZrCoAsIr crystal.

VASP energy, eV per atom: -7.432
M_tot, μB/cell: 1.75
ΔE to the lowest computed polymorph, meV per atom: 118

a b c (Å): 4.4997 4.4997 4.4997
angles (deg): 60.00 60.00 60.00
With the nearest neighbours (Å) after each atom.
Fractional positions:
As 0.0000 0.0000 0.0000  4 Co 2.76, 4 Zr 2.76
Co 0.7500 0.7500 0.7500  4 Ir 2.76, 4 As 2.76
Ir 0.5000 0.5000 0.5000  4 Zr 2.76, 4 Co 2.76
Zr 0.2500 0.2500 0.2500  4 Ir 2.76, 4 As 2.76

***

Record 5
A plane-wave DFT calculation with PBE-GGA was carried out for a relaxed Gd2YAl3FeCu2 crystal.

VASP energy, eV per atom: -5.112
M_tot, μB/cell: 2.21

a b c (Å): 3.9882 7.0670 7.0670
angles (deg): 120.38 90.00 90.00
With the nearest neighbours (Å) after each atom.
Fractional positions:
Al 0.5000 0.2341 0.2341  2 Fe 2.58, 2 Cu 2.77, 2 Al 2.85
Al 0.5000 0.9986 0.7660  2 Fe 2.59, 2 Cu 2.75-2.79, 2 Al 2.85
Al 0.5000 0.7660 0.9986  2 Fe 2.59, 2 Cu 2.75-2.79, 2 Al 2.85
Cu 0.5000 0.6667 0.3339  3 Al 2.75-2.79, 4 Gd 2.91, 2 Y 2.91
Cu 0.5000 0.3339 0.6667  3 Al 2.75-2.79, 4 Gd 2.91, 2 Y 2.91
Fe 0.0000 0.0006 0.0006  6 Al 2.58-2.59
Gd 0.0000 0.4149 0.0000  4 Cu 2.91, 1 Fe 2.93, 6 Al 3.19-3.24
Gd 0.0000 0.0000 0.4149  4 Cu 2.91, 1 Fe 2.93, 6 Al 3.19-3.24
Y 0.0000 0.5852 0.5852  4 Cu 2.91, 1 Fe 2.92, 6 Al 3.17-3.22

***

Record 6
A plane-wave DFT calculation with PBE-GGA was carried out for a relaxed SmYCI crystal.

VASP energy, eV per atom: -6.220
M_tot, μB/cell: 0.02

a b c (Å): 7.8592 7.8592 7.8592
angles (deg): 28.09 28.09 28.09
With the nearest neighbours (Å) after each atom.
Fractional positions:
C 0.4972 0.4972 0.4972  3 Y 2.51, 3 Sm 2.59
I 0.0020 0.0020 0.0020  3 Y 3.30, 3 Sm 3.35
Sm 0.2238 0.2238 0.2238  3 C 2.59
Y 0.7770 0.7770 0.7770  3 C 2.51

***

Record 7
A plane-wave DFT calculation with PBE-GGA was carried out for a relaxed Hf2ScMo crystal.

VASP energy, eV per atom: -9.066
M_tot, μB/cell: 0.36

a b c (Å): 4.8270 4.8270 4.8270
angles (deg): 60.00 60.00 60.00
With the nearest neighbours (Å) after each atom.
Fractional positions:
Hf 0.5000 0.5000 0.5000  4 Hf 2.96, 4 Mo 2.96
Hf 0.7500 0.7500 0.7500  4 Hf 2.96, 4 Sc 2.96
Mo 0.2500 0.2500 0.2500  4 Sc 2.96, 4 Hf 2.96
Sc 0.0000 0.0000 0.0000  4 Mo 2.96, 4 Hf 2.96

***

Record 8
A plane-wave DFT calculation with PBE-GGA was carried out for a relaxed Nb2PbO6 crystal.

VASP energy, eV per atom: -8.244
M_tot, μB/cell: 0.00
ΔE to the lowest computed polymorph, meV per atom: 0

a b c (Å): 5.3816 5.3816 7.5353
angles (deg): 112.36 112.36 42.17
With the nearest neighbours (Å) after each atom.
Fractional positions:
Nb 0.8227 0.8227 0.3772  4 O 1.84-2.02
Nb 0.1773 0.1773 0.6228  4 O 1.84-2.02
O 0.6757 0.6757 0.1309  1 Nb 1.84
O 0.9881 0.9881 0.3225  1 Nb 1.87
O 0.3009 0.3009 0.4350  3 Nb 2.02-2.23
O 0.6991 0.6991 0.5650  3 Nb 2.02-2.23
O 0.0119 0.0119 0.6775  1 Nb 1.87
O 0.3243 0.3243 0.8691  1 Nb 1.84
Pb 0.0000 0.0000 0.0000  6 O 2.48-2.53

***

Record 9
A plane-wave DFT calculation with PBE-GGA was carried out for a relaxed Ba2Zn2Sb2O crystal.

VASP energy, eV per atom: -3.929

a b c (Å): 4.6258 4.6258 20.3131
angles (deg): 90.00 90.00 120.00
With the nearest neighbours (Å) after each atom.
Fractional positions:
Ba 0.0000 0.0000 0.0000  6 Sb 3.51
Ba 0.0000 0.0000 0.2500  3 O 2.67
Ba 0.0000 0.0000 0.5000  6 Sb 3.51
Ba 0.0000 0.0000 0.7500  3 O 2.67
O 0.6667 0.3333 0.2500  2 Zn 2.07
O 0.3333 0.6667 0.7500  2 Zn 2.07
Sb 0.3333 0.6667 0.1119  3 Zn 2.77
Sb 0.3333 0.6667 0.3881  3 Zn 2.77
Sb 0.6667 0.3333 0.6119  3 Zn 2.77
Sb 0.6667 0.3333 0.8881  3 Zn 2.77
Zn 0.6667 0.3333 0.1481  1 O 2.07
Zn 0.6667 0.3333 0.3519  1 O 2.07
Zn 0.3333 0.6667 0.6481  1 O 2.07
Zn 0.3333 0.6667 0.8519  1 O 2.07

***

Record 10
A plane-wave DFT calculation with PBE-GGA was carried out for a relaxed DyF crystal.

VASP energy, eV per atom: -5.447
M_tot, μB/cell: 0.01
ΔE to the lowest computed polymorph, meV per atom: 65

a b c (Å): 3.7586 3.7586 5.3417
angles (deg): 90.00 90.00 120.00
With the nearest neighbours (Å) after each atom.
Fractional positions:
Dy 0.6667 0.3333 0.2500  6 F 2.55
Dy 0.3333 0.6667 0.7500  6 F 2.55
F 0.0000 0.0000 0.0000  6 Dy 2.55, 2 F 2.67
F 0.0000 0.0000 0.5000  6 Dy 2.55, 2 F 2.67

***

Record 11
A plane-wave DFT calculation with PBE-GGA was carried out for a relaxed NaDySnTe3 crystal.

VASP energy, eV per atom: -3.940
M_tot, μB/cell: 0.00

a b c (Å): 7.9007 7.9007 11.4492
angles (deg): 90.00 90.00 146.24
With the nearest neighbours (Å) after each atom.
Fractional positions:
Dy 0.0000 0.0000 0.0000  6 Te 3.16-3.34
Dy 0.0000 0.0000 0.5000  6 Te 3.16-3.34
Na 0.2297 0.7703 0.2500  6 Te 3.30-3.55
Na 0.7703 0.2297 0.7500  6 Te 3.30-3.55
Sn 0.5163 0.4837 0.2500  4 Te 3.00-3.02
Sn 0.4837 0.5163 0.7500  4 Te 3.00-3.02
Te 0.6399 0.3601 0.0454  1 Sn 3.00, 2 Dy 3.16
Te 0.8868 0.1132 0.2500  2 Sn 3.02, 2 Na 3.30, 2 Dy 3.34
Te 0.6399 0.3601 0.4546  1 Sn 3.00, 2 Dy 3.16
Te 0.3601 0.6399 0.5454  1 Sn 3.00, 2 Dy 3.16
Te 0.1132 0.8868 0.7500  2 Sn 3.02, 2 Na 3.30, 2 Dy 3.34
Te 0.3601 0.6399 0.9546  1 Sn 3.00, 2 Dy 3.16

***

Record 12
A plane-wave DFT calculation with PBE-GGA was carried out for a relaxed NdAl5FePd crystal.

VASP energy, eV per atom: -5.135
M_tot, μB/cell: 0.46

a b c (Å): 6.4061 6.4061 6.4061
angles (deg): 143.42 111.20 80.53
With the nearest neighbours (Å) after each atom.
Fractional positions:
Al 0.0044 0.0044 0.0000  1 Fe 2.29, 1 Pd 2.42
Al 0.6468 0.3454 0.3014  1 Fe 2.42, 2 Pd 2.62
Al 0.9775 0.6588 0.3188  1 Pd 2.50, 2 Fe 2.53, 1 Al 2.62
Al 0.3400 0.6588 0.6812  1 Pd 2.50, 2 Fe 2.53, 1 Al 2.62
Al 0.0439 0.3454 0.6986  1 Fe 2.42, 2 Pd 2.62
Fe 0.2391 0.2391 0.0000  7 Al 2.29-2.53
Nd 0.4918 0.9918 0.5000  2 Fe 3.19, 2 Pd 3.28, 10 Al 3.29-3.51
Pd 0.7564 0.7564 0.0000  7 Al 2.42-2.62

***

Record 13
A plane-wave DFT calculation with PBE-GGA was carried out for a relaxed Cs2ZrAgCl6 crystal.

VASP energy, eV per atom: -3.995
M_tot, μB/cell: 1.00

a b c (Å): 7.5075 7.5075 7.5238
angles (deg): 119.98 119.98 59.96
With the nearest neighbours (Å) after each atom.
Fractional positions:
Ag 0.5000 0.5000 0.0000  6 Cl 2.75
Cl 0.7587 0.2402 0.2583  1 Zr 2.56, 1 Ag 2.75
Cl 0.2402 0.7587 0.2583  1 Zr 2.56, 1 Ag 2.75
Cl 0.7590 0.7590 0.2597  1 Zr 2.56, 1 Ag 2.75
Cl 0.2410 0.2410 0.7403  1 Zr 2.56, 1 Ag 2.75
Cl 0.7598 0.2413 0.7417  1 Zr 2.56, 1 Ag 2.75
Cl 0.2413 0.7598 0.7417  1 Zr 2.56, 1 Ag 2.75
Cs 0.2502 0.2502 0.2504  12 Cl 3.75-3.77
Cs 0.7498 0.7498 0.7496  12 Cl 3.75-3.77
Zr 0.0000 0.0000 0.5000  6 Cl 2.56

***

Record 14
A plane-wave DFT calculation with PBE-GGA was carried out for a relaxed Zr3Ge5Au crystal.

VASP energy, eV per atom: -5.637
M_tot, μB/cell: 0.01

a b c (Å): 5.8582 5.8582 6.8974
angles (deg): 90.00 90.00 120.00
With the nearest neighbours (Å) after each atom.
Fractional positions:
Au 0.0000 0.0000 0.0000  14 Ge 3.45-3.58
Ge 0.6667 0.3333 0.1716  1 Ge 2.37
Ge 0.3333 0.6667 0.1716  1 Ge 2.37
Ge 0.0000 0.0000 0.5000  6 Zr 2.93
Ge 0.6667 0.3333 0.8284  1 Ge 2.37
Ge 0.3333 0.6667 0.8284  1 Ge 2.37
Zr 0.5000 0.0000 0.5000  6 Ge 2.83-2.93, 4 Zr 2.93
Zr 0.0000 0.5000 0.5000  6 Ge 2.83-2.93, 4 Zr 2.93
Zr 0.5000 0.5000 0.5000  6 Ge 2.83-2.93, 4 Zr 2.93

***

Record 15
A plane-wave DFT calculation with PBE-GGA was carried out for a relaxed LiZr2Os crystal.

VASP energy, eV per atom: -7.476
M_tot, μB/cell: 0.00
ΔE to the lowest computed polymorph, meV per atom: 401

a b c (Å): 4.6073 4.6073 4.6073
angles (deg): 60.00 60.00 60.00
With the nearest neighbours (Å) after each atom.
Fractional positions:
Li 0.5000 0.5000 0.5000  4 Os 2.82, 4 Zr 2.82
Os 0.2500 0.2500 0.2500  4 Zr 2.82, 4 Li 2.82
Zr 0.0000 0.0000 0.0000  4 Os 2.82, 4 Zr 2.82
Zr 0.7500 0.7500 0.7500  4 Zr 2.82, 4 Li 2.82

***

Record 16
A plane-wave DFT calculation with PBE-GGA was carried out for a relaxed KNpCuTe3 crystal.

VASP energy, eV per atom: -5.216
M_tot, μB/cell: 6.00

a b c (Å): 8.0779 8.0779 11.4069
angles (deg): 90.00 90.00 148.66
With the nearest neighbours (Å) after each atom.
Fractional positions:
Cu 0.5343 0.4657 0.2500  4 Te 2.62-2.68
Cu 0.4657 0.5343 0.7500  4 Te 2.62-2.68
K 0.2524 0.7476 0.2500  8 Te 3.57-4.00
K 0.7476 0.2524 0.7500  8 Te 3.57-4.00
Np 0.0000 0.0000 0.0000  6 Te 3.03-3.06
Np 0.0000 0.0000 0.5000  6 Te 3.03-3.06
Te 0.6303 0.3697 0.0616  1 Cu 2.62
Te 0.9344 0.0656 0.2500  2 Cu 2.68
Te 0.6303 0.3697 0.4384  1 Cu 2.62
Te 0.3697 0.6303 0.5616  1 Cu 2.62
Te 0.0656 0.9344 0.7500  2 Cu 2.68
Te 0.3697 0.6303 0.9384  1 Cu 2.62

***

Record 17
A plane-wave DFT calculation with PBE-GGA was carried out for a relaxed BPdNO crystal.

VASP energy, eV per atom: -6.109
ΔE to the lowest computed polymorph, meV per atom: 847

a b c (Å): 3.4200 3.4200 6.8983
angles (deg): 90.00 90.00 90.00
With the nearest neighbours (Å) after each atom.
Fractional positions:
B 0.7500 0.7500 0.0910  1 N 1.44
B 0.2500 0.2500 0.9090  1 N 1.44
N 0.7500 0.7500 0.2998  1 B 1.44
N 0.2500 0.2500 0.7002  1 B 1.44
O 0.7500 0.2500 0.0000  4 B 1.82
O 0.2500 0.7500 0.0000  4 B 1.82
Pd 0.7500 0.2500 0.5000  4 N 2.20, 4 Pd 2.42
Pd 0.2500 0.7500 0.5000  4 N 2.20, 4 Pd 2.42

***

Record 18
A plane-wave DFT calculation with PBE-GGA was carried out for a relaxed Tb2Pr crystal.

VASP energy, eV per atom: -4.406
M_tot, μB/cell: 1.20
ΔE to the lowest computed polymorph, meV per atom: 0

a b c (Å): 6.6529 6.6529 6.6529
angles (deg): 60.00 60.00 60.00
With the nearest neighbours (Å) after each atom.
Fractional positions:
Pr 0.0000 0.0000 0.0000  12 Tb 3.90, 4 Pr 4.07
Pr 0.2500 0.2500 0.2500  12 Tb 3.90, 4 Pr 4.07
Tb 0.6250 0.6250 0.1250  6 Tb 3.33
Tb 0.6250 0.1250 0.6250  6 Tb 3.33
Tb 0.1250 0.6250 0.6250  6 Tb 3.33
Tb 0.6250 0.6250 0.6250  6 Tb 3.33

***

Record 19
A plane-wave DFT calculation with PBE-GGA was carried out for a relaxed Li2Al2CuPdPt2 crystal.

VASP energy, eV per atom: -4.800
M_tot, μB/cell: 0.00

a b c (Å): 4.2271 4.2271 5.9559
angles (deg): 90.00 90.00 90.00
With the nearest neighbours (Å) after each atom.
Fractional positions:
Al 0.5000 0.0000 0.2507  2 Cu 2.58, 4 Pt 2.58-2.59, 2 Pd 2.59
Al 0.0000 0.5000 0.7493  4 Pt 2.58-2.59, 2 Cu 2.58, 2 Pd 2.59
Cu 0.0000 0.0000 0.5000  4 Li 2.58, 4 Al 2.58
Li 0.0000 0.5000 0.2517  2 Cu 2.58, 4 Pt 2.58-2.59, 2 Pd 2.59
Li 0.5000 0.0000 0.7483  4 Pt 2.58-2.59, 2 Cu 2.58, 2 Pd 2.59
Pd 0.5000 0.5000 0.0000  4 Al 2.59, 4 Li 2.59
Pt 0.0000 0.0000 0.0000  4 Al 2.59, 4 Li 2.59
Pt 0.5000 0.5000 0.5000  4 Li 2.58, 4 Al 2.58

***

Record 20
A plane-wave DFT calculation with PBE-GGA was carried out for a relaxed SiPdNO crystal.

VASP energy, eV per atom: -5.740
ΔE to the lowest computed polymorph, meV per atom: 1359

a b c (Å): 3.7479 3.7479 7.4773
angles (deg): 90.00 90.00 90.00
With the nearest neighbours (Å) after each atom.
Fractional positions:
N 0.0000 0.5000 0.3786  4 Pd 2.08
N 0.5000 0.0000 0.6214  4 Pd 2.08
O 0.0000 0.0000 0.0000  4 Si 2.06
O 0.5000 0.5000 0.0000  4 Si 2.06
Pd 0.0000 0.0000 0.5000  4 N 2.08
Pd 0.5000 0.5000 0.5000  4 N 2.08
Si 0.5000 0.0000 0.1137  4 O 2.06
Si 0.0000 0.5000 0.8863  4 O 2.06

***

Record 21
A plane-wave DFT calculation with PBE-GGA was carried out for a relaxed Dy4TlPbC2 crystal.

VASP energy, eV per atom: -5.794
M_tot, μB/cell: 0.02

a b c (Å): 3.6211 3.6211 16.2513
angles (deg): 90.00 90.00 120.00
With the nearest neighbours (Å) after each atom.
Fractional positions:
C 0.3333 0.6667 0.2495  6 Dy 2.47-2.50
C 0.3333 0.6667 0.7505  6 Dy 2.47-2.50
Dy 0.6667 0.3333 0.1682  3 C 2.47
Dy 0.0000 0.0000 0.3340  3 C 2.50
Dy 0.0000 0.0000 0.6660  3 C 2.50
Dy 0.6667 0.3333 0.8318  3 C 2.47
Pb 0.0000 0.0000 0.0000  6 Dy 3.44, 6 Pb 3.62
Tl 0.6667 0.3333 0.5000  6 Dy 3.41, 6 Tl 3.62

***

Record 22
A plane-wave DFT calculation with PBE-GGA was carried out for a relaxed PW2 crystal.

VASP energy, eV per atom: -6.938
M_tot, μB/cell: 5.70

a b c (Å): 7.2206 7.2206 7.2206
angles (deg): 60.00 60.00 60.00
With the nearest neighbours (Å) after each atom.
Fractional positions:
P 0.2500 0.2500 0.2500  4 W 2.21
P 0.5000 0.5000 0.5000  4 W 2.21
W 0.3750 0.8750 0.3750  2 P 2.21
W 0.3750 0.3750 0.3750  2 P 2.21
W 0.8750 0.3750 0.3750  2 P 2.21
W 0.3750 0.3750 0.8750  2 P 2.21

***

Record 23
A plane-wave DFT calculation with PBE-GGA was carried out for a relaxed Ni15P2 crystal.

VASP energy, eV per atom: -5.679
M_tot, μB/cell: 0.28

a b c (Å): 6.3021 6.3021 6.3021
angles (deg): 62.16 62.16 62.16
With the nearest neighbours (Å) after each atom.
Fractional positions:
Ni 0.5347 0.7841 0.0667  1 P 2.17, 2 Ni 2.32-2.42
Ni 0.0831 0.0831 0.0831  10 Ni 2.35-2.56
Ni 0.6617 0.3409 0.1184  1 P 2.17, 2 Ni 2.35-2.42
Ni 0.9333 0.4653 0.2159  1 P 2.17, 2 Ni 2.32-2.42
Ni 0.6591 0.8816 0.3383  1 P 2.17, 2 Ni 2.35-2.42
Ni 0.1184 0.6617 0.3409  1 P 2.17, 2 Ni 2.35-2.42
Ni 0.2159 0.9333 0.4653  1 P 2.17, 2 Ni 2.32-2.42
Ni 0.5000 0.5000 0.5000  12 Ni 2.44-2.62
Ni 0.7841 0.0667 0.5347  1 P 2.17, 2 Ni 2.32-2.42
Ni 0.8816 0.3383 0.6591  1 P 2.17, 2 Ni 2.35-2.42
Ni 0.3409 0.1184 0.6617  1 P 2.17, 2 Ni 2.35-2.42
Ni 0.0667 0.5347 0.7841  1 P 2.17, 2 Ni 2.32-2.42
Ni 0.3383 0.6591 0.8816  1 P 2.17, 2 Ni 2.35-2.42
Ni 0.9169 0.9169 0.9169  10 Ni 2.35-2.56
Ni 0.4653 0.2159 0.9333  1 P 2.17, 2 Ni 2.32-2.42
P 0.2913 0.2913 0.2913  6 Ni 2.17
P 0.7087 0.7087 0.7087  6 Ni 2.17

***

Record 24
A plane-wave DFT calculation with PBE-GGA was carried out for a relaxed LiScFeBi crystal.

VASP energy, eV per atom: -5.172
M_tot, μB/cell: 2.10
ΔE to the lowest computed polymorph, meV per atom: 116

a b c (Å): 4.7448 4.7448 4.7448
angles (deg): 60.00 60.00 60.00
With the nearest neighbours (Å) after each atom.
Fractional positions:
Bi 0.2500 0.2500 0.2500  4 Sc 2.91, 4 Li 2.91
Fe 0.7500 0.7500 0.7500  4 Sc 2.91, 4 Li 2.91
Li 0.0000 0.0000 0.0000  4 Fe 2.91, 4 Bi 2.91
Sc 0.5000 0.5000 0.5000  4 Fe 2.91, 4 Bi 2.91

***

Record 25
A plane-wave DFT calculation with PBE-GGA was carried out for a relaxed AcDyTc crystal.

VASP energy, eV per atom: -5.391
M_tot, μB/cell: 0.06

a b c (Å): 4.9458 4.9458 4.9458
angles (deg): 60.00 60.00 60.00
With the nearest neighbours (Å) after each atom.
Fractional positions:
Ac 0.5000 0.5000 0.5000  4 Dy 3.03
Dy 0.2500 0.2500 0.2500  4 Ac 3.03, 4 Tc 3.03
Tc 0.0000 0.0000 0.0000  4 Dy 3.03